Entry 1:
DFT (GGA-PBE) results for a geometry-optimized CaRuW2 structure.

The structure belongs to space group P4/mmm (No. 123); the cell edges are 4.8108, 4.8108 and 2.9435 Å and the angles 90.00°, 90.00° and 90.00°. The distinct sites, in fractional coordinates, are Ca at (0.0000, 0.0000, 0.0000), Ru at (0.5000, 0.5000, 0.0000) and W at (0.0000, 0.5000, 0.5000).

As for the magnetization: 0.0 μB per formula unit. For the energy relative to the elements, the calculation gives 3.99 eV/f.u. As for the raw total energy: -33.20 eV for the cell shown.

Entry 2:
DFT (GGA-PBE) results for a geometry-optimized SiCIF2 structure.

The structure belongs to space group P4/mmm (No. 123); the cell edges are 3.8221, 3.8221 and 5.9070 Å and the angles 90.00°, 90.00° and 90.00°. The distinct sites, in fractional coordinates, are Si at (0.0000, 0.0000, 0.0000), C at (0.5000, 0.5000, 0.5000), I at (0.0000, 0.0000, 0.5000) and F at (0.0000, 0.5000, 0.0000).

As for the magnetization: 1.3 μB per formula unit. The formation energy from raw total energies comes out at 2.2 kJ/mol of atoms. As for the raw total energy: -19.83 eV for the cell shown.

Entry 3:
DFT (GGA-PBE) results for a geometry-optimized Cd2InFeIr structure.

The structure belongs to space group P4/mmm (No. 123); the cell edges are 5.1666, 5.1666 and 4.9889 Å and the angles 90.00°, 90.00° and 90.00°. The distinct sites, in fractional coordinates, are Cd at (0.0000, 0.5000, 0.0000), In at (0.0000, 0.0000, 0.0000), Fe at (0.5000, 0.5000, 0.5000) and Ir at (0.0000, 0.0000, 0.5000).

As for the magnetization: 3.5 μB per formula unit. For the energy relative to the elements, the calculation gives 7.35 eV/f.u. As for the raw total energy: -14.54 eV for the cell shown.

Entry 4:
DFT (GGA-PBE) results for a geometry-optimized NaCaSm2Tl4 structure.

The structure belongs to space group R-3m (No. 166, hexagonal axes); the cell edges are 5.4333, 5.4333 and 26.7502 Å and the angles 90.00°, 90.00° and 120.00°. The distinct sites, in fractional coordinates, are Na at (0.0000, 0.0000, 0.0000), Ca at (0.0000, 0.0000, 0.5000), Sm at (0.0000, 0.0000, 0.2525), Tl at (0.0000, 0.0000, 0.1237) and Tl at (0.0000, 0.0000, 0.3743).

As for the magnetization: 0.0 μB per formula unit. For the energy relative to the elements, the calculation gives -2.57 eV/f.u. As for the raw total energy: -74.39 eV for the cell shown.

Entry 5:
DFT (GGA-PBE) results for a geometry-optimized MgTl2CdHg2 structure.

The structure belongs to space group Pmc2_1 (No. 26); the cell edges are 4.2815, 10.6067 and 6.9526 Å and the angles 90.00°, 90.00° and 90.00°. The distinct sites, in fractional coordinates, are Mg at (0.0000, 0.0112, 0.0000), Tl at (0.0000, 0.3047, 0.4618), Tl at (0.5000, 0.4956, 0.2067), Cd at (0.5000, 0.1666, 0.7470), Hg at (0.0000, 0.3047, 0.9820) and Hg at (0.5000, 0.1176, 0.2539).

As for the magnetization: 0.0 μB per formula unit. For the energy relative to the elements, the calculation gives -0.19 eV/f.u. As for the raw total energy: -16.07 eV for the cell shown.

Entry 6:
DFT (GGA-PBE) results for a geometry-optimized Er2MnGaC structure.

The structure belongs to space group P4/mmm (No. 123); the cell edges are 4.8753, 4.8753 and 3.7336 Å and the angles 90.00°, 90.00° and 90.00°. The distinct sites, in fractional coordinates, are Er at (0.0000, 0.5000, 0.0000), Mn at (0.0000, 0.0000, 0.5000), Ga at (0.5000, 0.5000, 0.5000) and C at (0.0000, 0.0000, 0.0000).

As for the magnetization: 0.0 μB per formula unit. For the energy relative to the elements, the calculation gives -2.00 eV/f.u. As for the raw total energy: -32.55 eV for the cell shown.